# Zr2TlIr

A relaxed Zr2TlIr crystal (PBEsol, Alexandria).

The structure belongs to space group Amm2 (No. 38); the cell edges are 4.440, 3.340 and 10.858 Å and the angles 90.00°, 90.00° and 90.00°. The inequivalent atoms are Zr at (0.000, 0.000, 0.000), Zr at (0.500, 0.000, 0.309), Tl at (0.500, 0.000, 0.584) and Ir at (0.000, 0.000, 0.762).


# Zr2TlIr

A relaxed Zr2TlIr crystal (PBEsol, Alexandria).

The structure belongs to space group Imm2 (No. 44); the cell edges are 3.344, 4.635 and 10.373 Å and the angles 90.00°, 90.00° and 90.00°. The inequivalent atoms are Zr at (0.000, 0.000, 0.000), Zr at (0.000, 0.500, 0.219), Tl at (0.000, 0.000, 0.432) and Ir at (0.000, 0.500, 0.704).


# Zr2TlIr

A relaxed Zr2TlIr crystal (PBEsol, Alexandria).

The structure belongs to space group P4/mmm (No. 123); the cell edges are 3.065, 3.065 and 8.290 Å and the angles 90.00°, 90.00° and 90.00°. The inequivalent atoms are Zr at (0.000, 0.000, 0.217), Tl at (0.500, 0.500, 0.500) and Ir at (0.500, 0.500, 0.000).


The records above yield DOS at the Fermi energy values of 0.4284, 0.8292, 1.0957 states/eV per atom, respectively.
The records above yield ΔH_f (0 K) values of -386, -321, -485 meV per atom, respectively.